A relaxed VSnAuBr crystal. Source: Alexandria via LeMat-Bulk, functional PBE-GGA.

Calculated total energy ... -4.596 eV per atom
Magnetic moment ... 3.720 Bohr magnetons per cell
Fermi-level density of states ... 6.18 states/eV per cell
Excess energy over the best structure of this formula in the dataset ... 0.0380 eV/atom
ΔE_f (raw) ... -0.078 eV per atom

abc: 3.1324 4.4289 14.9410
angles: 90.00 90.00 90.00
Last column: nearest neighbours and their distance in Å.
Space group Imm2 (No. 44)
Unique sites:
V1 0.0000 0.0000 0.0000  2 Br 2.49
Sn1 0.0000 0.5000 0.6688  2 Au 2.82, 2 V 2.97, 2 Sn 3.13
Au1 0.0000 0.0000 0.5520  2 Sn 2.82, 4 V 2.82, 2 Au 3.13
Br1 0.0000 0.5000 0.3704  2 V 2.49